Here is a relaxed structure of ErScGePd from Alexandria. Energies are from PBE.

Geometry as POSCAR:
```
ErScGePd
1.0
4.8447 0.0000 0.0000
2.4223 4.1956 0.0000
2.4223 1.3985 3.9557
Sc Pd Ge Er
1 1 1 1
Direct
0.0000 0.0000 0.0000
0.7500 0.7500 0.7500
0.2500 0.2500 0.2500
0.5000 0.5000 0.5000
```

Values from the calculation:
DFT formation energy	-0.8048	eV per atom

Here is a relaxed structure of YSc2Fe from Alexandria. Energies are from PBE.

Geometry as POSCAR:
```
YSc2Fe
1.0
5.9172 0.0035 -0.0016
2.7715 5.2280 0.0016
-3.7118 -3.6663 2.7918
Sc Fe Y
2 1 1
Direct
0.4451 0.4451 0.0000
0.0549 0.0549 0.0000
0.2500 0.7500 0.5000
0.7500 0.2500 0.5000
```

Values from the calculation:
DFT formation energy	-0.0062	eV per atom
E above lowest polymorph	0.042	eV per atom

Here is a relaxed structure of AcZrO from Alexandria. Energies are from PBE.

Geometry as POSCAR:
```
AcZrO
1.0
3.4599 0.0000 0.0000
-1.7300 2.9970 0.0000
0.0000 0.0000 12.5310
Ac O Zr
2 2 2
Direct
0.6109 0.2217 0.6439
0.6109 0.2217 0.3561
0.2773 0.5546 0.5000
0.6115 0.2229 0.0000
0.2780 0.5561 0.8861
0.2780 0.5561 0.1139
```

Values from the calculation:
E_form (uncorrected)	-1.169	eV per atom

| no. | size of the total moment (μB/atom) |
| --- | --- |
| 1 | 0.0000 |
| 2 | 0.0000 |
| 3 | 0.0000 |